(1)
This record from Alexandria describes crystalline VAsAu2 at its relaxed geometry. The functional is PBE.

total DFT energy (no corrections)	-4.618	eV/atom
V	72	Å³/f.u.
density	11.91	Mg/m³
magnetic moment	0.3	μB/f.u.
ΔE_f	0.46	eV per atom

Lattice parameters (Å, degrees): 10.543 10.543 10.543 15.45 15.45 15.45
Positions (direct):
V 0.000 0.000 0.000
As 0.500 0.500 0.500
Au 0.082 0.082 0.082
Au 0.918 0.918 0.918

(2)
This record from Alexandria describes crystalline AcAg2AsS4 at its relaxed geometry. The functional is PBE.

total DFT energy (no corrections)	-4.499	eV/atom
V	189	Å³/f.u.
density	5.67	Mg/m³
raw formation energy	-628	meV/atom
magnetic moment	0.0	μB/f.u.

Lattice parameters (Å, degrees): 6.278 6.278 6.278 113.35 110.77 104.43
Positions (direct):
Ac 0.000 0.000 0.000
Ag 0.305 0.805 0.500
Ag 0.695 0.195 0.500
As 0.500 0.500 0.000
S 0.112 0.108 0.593
S 0.485 0.892 0.005
S 0.515 0.520 0.407
S 0.888 0.480 0.995

Question: The highest total DFT energy (no corrections) belongs to which entry?
Answer: AcAg2AsS4